*1*
# Mg5Sb3 | Alexandria via LeMat-Bulk | PBE | optimized geometry
data_Mg5Sb3
_chemical_formula_sum 'Mg10 Sb6'
_symmetry_space_group_name_H-M 'C m m m'
_symmetry_Int_Tables_number 65
_symmetry_space_group_name_Hall '-C 2 2'
_cell_length_a 7.381
_cell_length_b 11.669
_cell_length_c 4.620
_cell_angle_alpha 90.00
_cell_angle_beta 90.00
_cell_angle_gamma 90.00
loop_
_atom_site_label
_atom_site_fract_x
_atom_site_fract_y
_atom_site_fract_z
Mg1 0.000 0.000 0.000
Mg2 0.223 0.500 0.500
Mg3 0.250 0.250 0.000
Sb1 0.000 0.181 0.500
Sb2 0.000 0.500 0.000
# * crystal system: orthorhombic
# * theoretical density: 4.06 g/cm3

*2*
# Mg5Sb3 | Alexandria via LeMat-Bulk | PBE | optimized geometry
data_Mg5Sb3
_chemical_formula_sum 'Mg20 Sb12'
_symmetry_space_group_name_H-M 'C 1 m 1'
_symmetry_Int_Tables_number 8
_cell_length_a 7.621
_cell_length_b 14.185
_cell_length_c 8.605
_cell_angle_alpha 90.00
_cell_angle_beta 114.48
_cell_angle_gamma 90.00
loop_
_symmetry_equiv_pos_as_xyz
'x,y,z'
'x,-y,z'
'x+1/2,y+1/2,z'
'x+1/2,-y+1/2,z'
loop_
_atom_site_label
_atom_site_fract_x
_atom_site_fract_y
_atom_site_fract_z
Mg1 0.000 0.000 0.000
Mg2 0.005 0.176 0.737
Mg3 0.067 0.500 0.023
Mg4 0.251 0.194 0.169
Mg5 0.427 0.116 0.579
Mg6 0.429 0.398 0.337
Sb1 0.171 0.279 0.433
Sb2 0.184 0.000 0.726
Sb3 0.249 0.337 0.925
Sb4 0.380 0.000 0.263
# * crystal system: monoclinic
# * theoretical density: 3.82 g/cm3

*3*
# Mg5Sb3 | Alexandria via LeMat-Bulk | PBE | optimized geometry
data_Mg5Sb3
_chemical_formula_sum 'Mg10 Sb6'
_symmetry_space_group_name_H-M 'P 63/m c m'
_symmetry_Int_Tables_number 193
_symmetry_space_group_name_Hall '-P 6c 2'
_cell_length_a 8.5582
_cell_length_b 8.5582
_cell_length_c 6.4740
_cell_angle_alpha 90.00
_cell_angle_beta 90.00
_cell_angle_gamma 120.00
loop_
_atom_site_label
_atom_site_fract_x
_atom_site_fract_y
_atom_site_fract_z
Mg1 0.0000 0.3012 0.2500
Mg2 0.3333 0.6667 0.0000
Sb1 0.0000 0.3562 0.7500
# * crystal system: hexagonal
# * theoretical density: 3.94 g/cm3

Stability summary - winner: *2*; margin: 19 meV per atom.

*1*
# MgSb3 | Alexandria via LeMat-Bulk | PBE | optimized geometry
data_MgSb3
_chemical_formula_sum 'Mg1 Sb3'
_symmetry_space_group_name_H-M 'P m m 2'
_symmetry_Int_Tables_number 25
_cell_length_a 3.840
_cell_length_b 5.281
_cell_length_c 5.156
_cell_angle_alpha 90.00
_cell_angle_beta 90.00
_cell_angle_gamma 90.00
loop_
_symmetry_equiv_pos_as_xyz
'x,y,z'
'-x,-y,z'
'-x,y,z'
'x,-y,z'
loop_
_atom_site_label
_atom_site_fract_x
_atom_site_fract_y
_atom_site_fract_z
Mg1 0.000 0.000 0.000
Sb1 0.000 0.500 0.418
Sb2 0.500 0.000 0.507
Sb3 0.500 0.500 0.937
# * crystal system: orthorhombic
# * theoretical density: 6.19 g/cm3

*2*
# MgSb3 | Alexandria via LeMat-Bulk | PBE | optimized geometry
data_MgSb3
_chemical_formula_sum 'Mg4 Sb12'
_symmetry_space_group_name_H-M 'C m c m'
_symmetry_Int_Tables_number 63
_symmetry_space_group_name_Hall '-C 2c 2'
_cell_length_a 8.527
_cell_length_b 8.971
_cell_length_c 6.113
_cell_angle_alpha 90.00
_cell_angle_beta 90.00
_cell_angle_gamma 90.00
loop_
_atom_site_label
_atom_site_fract_x
_atom_site_fract_y
_atom_site_fract_z
Mg1 0.000 0.077 0.250
Sb1 0.000 0.486 0.250
Sb2 0.228 0.204 0.750
# * crystal system: orthorhombic
# * theoretical density: 5.53 g/cm3

*3*
# MgSb3 | Alexandria via LeMat-Bulk | PBE | optimized geometry
data_MgSb3
_chemical_formula_sum 'Mg2 Sb6'
_symmetry_space_group_name_H-M 'I m m 2'
_symmetry_Int_Tables_number 44
_cell_length_a 3.259
_cell_length_b 10.306
_cell_length_c 6.404
_cell_angle_alpha 90.00
_cell_angle_beta 90.00
_cell_angle_gamma 90.00
loop_
_symmetry_equiv_pos_as_xyz
'x,y,z'
'-x,-y,z'
'-x,y,z'
'x,-y,z'
'x+1/2,y+1/2,z+1/2'
'-x+1/2,-y+1/2,z+1/2'
'-x+1/2,y+1/2,z+1/2'
'x+1/2,-y+1/2,z+1/2'
loop_
_atom_site_label
_atom_site_fract_x
_atom_site_fract_y
_atom_site_fract_z
Mg1 0.000 0.000 0.000
Sb1 0.000 0.302 0.239
Sb2 0.000 0.500 0.911
# * crystal system: orthorhombic
# * theoretical density: 6.02 g/cm3

*4*
# MgSb3 | Alexandria via LeMat-Bulk | PBE | optimized geometry
data_MgSb3
_chemical_formula_sum 'Mg2 Sb6'
_symmetry_space_group_name_H-M 'C m m m'
_symmetry_Int_Tables_number 65
_symmetry_space_group_name_Hall '-C 2 2'
_cell_length_a 4.138
_cell_length_b 4.905
_cell_length_c 10.339
_cell_angle_alpha 90.00
_cell_angle_beta 90.00
_cell_angle_gamma 90.00
loop_
_atom_site_label
_atom_site_fract_x
_atom_site_fract_y
_atom_site_fract_z
Mg1 0.000 0.000 0.000
Sb1 0.000 0.000 0.500
Sb2 0.000 0.500 0.220
# * crystal system: orthorhombic
# * theoretical density: 6.17 g/cm3

Stability summary - winner: *3*; margin: 24 meV per atom.

*1*
# MgSb3 | Alexandria via LeMat-Bulk | PBE | optimized geometry
data_MgSb3
_chemical_formula_sum 'Mg2 Sb6'
_symmetry_space_group_name_H-M 'P 63/m m c'
_symmetry_Int_Tables_number 194
_symmetry_space_group_name_Hall '-P 6c 2c'
_cell_length_a 6.7220
_cell_length_b 6.7220
_cell_length_c 5.3667
_cell_angle_alpha 90.00
_cell_angle_beta 90.00
_cell_angle_gamma 120.00
loop_
_atom_site_label
_atom_site_fract_x
_atom_site_fract_y
_atom_site_fract_z
Mg1 0.3333 0.6667 0.2500
Sb1 0.1756 0.3511 0.7500
# * crystal system: hexagonal
# * theoretical density: 6.16 g/cm3

*2*
# MgSb3 | Alexandria via LeMat-Bulk | PBE | optimized geometry
data_MgSb3
_chemical_formula_sum 'Mg2 Sb6'
_symmetry_space_group_name_H-M 'I m m m'
_symmetry_Int_Tables_number 71
_symmetry_space_group_name_Hall '-I 2 2'
_cell_length_a 4.217
_cell_length_b 4.404
_cell_length_c 11.776
_cell_angle_alpha 90.00
_cell_angle_beta 90.00
_cell_angle_gamma 90.00
loop_
_atom_site_label
_atom_site_fract_x
_atom_site_fract_y
_atom_site_fract_z
Mg1 0.000 0.000 0.000
Sb1 0.000 0.000 0.500
Sb2 0.000 0.500 0.202
# * crystal system: orthorhombic
# * theoretical density: 5.92 g/cm3

*3*
# MgSb3 | Alexandria via LeMat-Bulk | PBE | optimized geometry
data_MgSb3
_chemical_formula_sum 'Mg1 Sb3'
_symmetry_space_group_name_H-M 'P 1 2/m 1'
_symmetry_Int_Tables_number 10
_cell_length_a 3.216
_cell_length_b 4.097
_cell_length_c 8.283
_cell_angle_alpha 90.00
_cell_angle_beta 91.13
_cell_angle_gamma 90.00
loop_
_symmetry_equiv_pos_as_xyz
'x,y,z'
'-x,-y,-z'
'-x,y,-z'
'x,-y,z'
loop_
_atom_site_label
_atom_site_fract_x
_atom_site_fract_y
_atom_site_fract_z
Mg1 0.000 0.000 0.000
Sb1 0.498 0.500 0.218
Sb2 0.500 0.000 0.500
# * crystal system: monoclinic
# * theoretical density: 5.93 g/cm3

*4*
# MgSb3 | Alexandria via LeMat-Bulk | PBE | optimized geometry
data_MgSb3
_chemical_formula_sum 'Mg2 Sb6'
_symmetry_space_group_name_H-M 'I 4/m m m'
_symmetry_Int_Tables_number 139
_symmetry_space_group_name_Hall '-I 4 2'
_cell_length_a 5.010
_cell_length_b 5.010
_cell_length_c 8.413
_cell_angle_alpha 90.00
_cell_angle_beta 90.00
_cell_angle_gamma 90.00
loop_
_atom_site_label
_atom_site_fract_x
_atom_site_fract_y
_atom_site_fract_z
Mg1 0.000 0.000 0.000
Sb1 0.000 0.000 0.500
Sb2 0.000 0.500 0.250
# * crystal system: tetragonal
# * theoretical density: 6.13 g/cm3

Stability summary - winner: *3*; margin: 57 meV per atom.

*1*
# MgSb3 | Alexandria via LeMat-Bulk | PBE | optimized geometry
data_MgSb3
_chemical_formula_sum 'Mg1 Sb3'
_symmetry_space_group_name_H-M 'P m m m'
_symmetry_Int_Tables_number 47
_cell_length_a 3.250
_cell_length_b 3.974
_cell_length_c 8.030
_cell_angle_alpha 90.00
_cell_angle_beta 90.00
_cell_angle_gamma 90.00
loop_
_symmetry_equiv_pos_as_xyz
'x,y,z'
'-x,-y,-z'
'-x,-y,z'
'x,y,-z'
'x,-y,-z'
'-x,y,z'
'-x,y,-z'
'x,-y,z'
loop_
_atom_site_label
_atom_site_fract_x
_atom_site_fract_y
_atom_site_fract_z
Mg1 0.000 0.000 0.000
Sb1 0.000 0.000 0.500
Sb2 0.500 0.500 0.225
# * crystal system: orthorhombic
# * theoretical density: 6.24 g/cm3

*2*
# MgSb3 | Alexandria via LeMat-Bulk | PBE | optimized geometry
data_MgSb3
_chemical_formula_sum 'Mg3 Sb9'
_symmetry_space_group_name_H-M 'R -3 m'
_symmetry_Int_Tables_number 166
_symmetry_space_group_name_Hall '-R 3 2"'
_cell_length_a 10.4557
_cell_length_b 10.4557
_cell_length_c 3.3109
_cell_angle_alpha 90.00
_cell_angle_beta 90.00
_cell_angle_gamma 120.00
loop_
_atom_site_label
_atom_site_fract_x
_atom_site_fract_y
_atom_site_fract_z
Mg1 0.0000 0.0000 0.0000
Sb1 0.0000 0.5000 0.0000
# * crystal system: trigonal
# * theoretical density: 6.19 g/cm3

*3*
# MgSb3 | Alexandria via LeMat-Bulk | PBE | optimized geometry
data_MgSb3
_chemical_formula_sum 'Mg1 Sb3'
_symmetry_space_group_name_H-M 'P -6 m 2'
_symmetry_Int_Tables_number 187
_symmetry_space_group_name_Hall 'P -6 2'
_cell_length_a 3.3225
_cell_length_b 3.3225
_cell_length_c 11.0313
_cell_angle_alpha 90.00
_cell_angle_beta 90.00
_cell_angle_gamma 120.00
loop_
_atom_site_label
_atom_site_fract_x
_atom_site_fract_y
_atom_site_fract_z
Mg1 0.0000 0.0000 0.0000
Sb1 0.0000 0.0000 0.5000
Sb2 0.6667 0.3333 0.2244
# * crystal system: hexagonal
# * theoretical density: 6.13 g/cm3

Stability summary - winner: *1*; margin: 21 meV per atom.